1.
Computed, not measured: Ba2As6O11 at its PBEsol-relaxed geometry at the meta-GGA SCAN level of DFT.

Cell lengths 5.2987, 6.8931, 9.0525 Å; angles 71.76, 86.65, 82.06 degrees
With the nearest neighbours (Å) after each atom.
Element x y z (fractional)
Ba 0.0000 0.0000 0.0000  10 O 2.72-2.98
Ba 0.4756 0.5994 0.8955  8 O 2.69-2.91
As 0.0274 0.9100 0.5461  3 O 1.72-1.85
As 0.4954 0.1649 0.7098  2 O 1.72-1.89
As 0.4954 0.6629 0.3483  3 O 1.73-1.86
As 0.5130 0.1528 0.2862  3 O 1.79-1.83
As 0.9718 0.4381 0.6202  3 O 1.81-1.83
As 0.9855 0.4320 0.1955  2 O 1.72-1.90
O 0.1511 0.9527 0.7034  1 As 1.72
O 0.2264 0.3420 0.7632  2 As 1.83-1.89
O 0.2487 0.2408 0.1507  2 As 1.83-1.90
O 0.2929 0.6635 0.2052  1 As 1.73
O 0.2996 0.7390 0.4986  2 As 1.83-1.85
O 0.5260 0.9840 0.8903  1 As 1.72
O 0.6208 0.9106 0.2498  2 As 1.81-1.86
O 0.7346 0.3214 0.7594  2 As 1.81-1.93
O 0.7368 0.2802 0.1449  2 As 1.79-1.95
O 0.8651 0.6840 0.6533  2 As 1.82-1.85
O 0.9581 0.6062 0.0122  1 As 1.72

Values from the calculation:
ΔE_f (raw): -1808 meV/atom
SG: P1 (1)

***

2.
Computed, not measured: RbBaAs2O at its PBEsol-relaxed geometry at the meta-GGA SCAN level of DFT.

Cell lengths 5.6483, 5.6483, 4.7601 Å; angles 90.00, 90.00, 90.00 degrees
With the nearest neighbours (Å) after each atom.
Element x y z (fractional)
Rb 0.0000 0.0000 0.0000  2 O 2.38
Ba 0.5000 0.5000 0.5000  8 As 3.69, 4 O 3.99
As 0.0000 0.5000 0.0000  2 Rb 2.82
As 0.5000 0.0000 0.0000  2 Rb 2.82
O 0.0000 0.0000 0.5000  2 Rb 2.38

Values from the calculation:
ΔE_f (raw): 288 meV/atom
SG: P4/mmm (123)

***

3.
Computed, not measured: Ba2AsSe4O3 at its PBEsol-relaxed geometry at the meta-GGA SCAN level of DFT.

Cell lengths 6.2868, 6.2868, 6.5514 Å; angles 106.70, 106.70, 89.04 degrees
With the nearest neighbours (Å) after each atom.
Element x y z (fractional)
Ba 0.2354 0.7646 0.0000  3 O 2.60-2.75
Ba 0.7646 0.2354 0.0000  3 O 2.60-2.75
As 0.3186 0.3186 0.5495  3 Se 2.40-2.47
Se 0.3102 0.3102 0.1783  1 As 2.40
Se 0.3484 0.9299 0.5626  1 As 2.47, 1 Se 2.65
Se 0.7052 0.7052 0.5395  1 O 1.74
Se 0.9299 0.3484 0.5626  1 As 2.47, 1 Se 2.65
O 0.6818 0.8344 0.0644  1 O 1.35
O 0.8344 0.6818 0.0644  1 O 1.35
O 0.9048 0.9048 0.7411  1 Se 1.74

Values from the calculation:
ΔE_f (raw): -1122 meV/atom
SG: Cm (8)

***

4.
Computed, not measured: Ba3TaAs3O at its PBEsol-relaxed geometry at the meta-GGA SCAN level of DFT.

Cell lengths 6.7122, 11.0960, 13.4404 Å; angles 90.00, 90.00, 90.00 degrees
With the nearest neighbours (Å) after each atom.
Element x y z (fractional)
Ba 0.2219 0.2500 0.1266  1 O 2.67
Ba 0.2426 0.5447 0.3681  1 O 2.64
Ba 0.2426 0.9553 0.3681  1 O 2.64
Ba 0.2574 0.0447 0.8681  1 O 2.64
Ba 0.2574 0.4553 0.8681  1 O 2.64
Ba 0.2781 0.7500 0.6266  1 O 2.67
Ba 0.7219 0.2500 0.3734  1 O 2.67
Ba 0.7426 0.5447 0.1319  1 O 2.64
Ba 0.7426 0.9553 0.1319  1 O 2.64
Ba 0.7574 0.0447 0.6319  1 O 2.64
Ba 0.7574 0.4553 0.6319  1 O 2.64
Ba 0.7781 0.7500 0.8734  1 O 2.67
Ta 0.1620 0.2500 0.5452  1 O 1.87
Ta 0.3380 0.7500 0.0452  1 O 1.87
Ta 0.6620 0.2500 0.9548  1 O 1.87
Ta 0.8380 0.7500 0.4548  1 O 1.87
As 0.2226 0.2500 0.3649  1 Ta 2.46
As 0.2353 0.5545 0.1164  1 Ta 2.47
As 0.2353 0.9455 0.1164  1 Ta 2.47
As 0.2647 0.0545 0.6164  1 Ta 2.47
As 0.2647 0.4455 0.6164  1 Ta 2.47
As 0.2774 0.7500 0.8649  1 Ta 2.46
As 0.7226 0.2500 0.1351  1 Ta 2.46
As 0.7353 0.5545 0.3836  1 Ta 2.47
As 0.7353 0.9455 0.3836  1 Ta 2.47
As 0.7647 0.0545 0.8836  1 Ta 2.47
As 0.7647 0.4455 0.8836  1 Ta 2.47
As 0.7774 0.7500 0.6351  1 Ta 2.46
O 0.1155 0.7500 0.4455  1 Ta 1.87
O 0.3845 0.2500 0.9455  1 Ta 1.87
O 0.6155 0.7500 0.0545  1 Ta 1.87
O 0.8845 0.2500 0.5545  1 Ta 1.87

Values from the calculation:
ΔE_f (raw): -1627 meV/atom
SG: Pnma (62)

***

5.
Computed, not measured: BaTiAs2O8 at its PBEsol-relaxed geometry at the meta-GGA SCAN level of DFT.

Cell lengths 5.0090, 5.0090, 7.7968 Å; angles 93.57, 93.57, 66.04 degrees
With the nearest neighbours (Å) after each atom.
Element x y z (fractional)
Ba 0.0000 0.0000 0.0000  6 O 2.76-2.80
Ti 0.0000 0.0000 0.5000  6 O 1.90-1.97
As 0.3697 0.3697 0.7065  4 O 1.68-1.72
As 0.6303 0.6303 0.2935  4 O 1.68-1.72
O 0.2255 0.2255 0.5409  1 As 1.70, 1 Ti 1.90
O 0.2337 0.7423 0.6839  1 As 1.72
O 0.2577 0.7663 0.3161  1 As 1.72
O 0.3111 0.3111 0.9080  1 As 1.68
O 0.6889 0.6889 0.0920  1 As 1.68
O 0.7423 0.2337 0.6839  1 As 1.72
O 0.7663 0.2577 0.3161  1 As 1.72
O 0.7745 0.7745 0.4591  1 As 1.70, 1 Ti 1.90

Values from the calculation:
ΔE_f (raw): -2276 meV/atom
SG: C2/m (12)

***

6.
Computed, not measured: BaTi2As2O at its PBEsol-relaxed geometry at the meta-GGA SCAN level of DFT.

Cell lengths 4.0149, 4.0149, 7.2349 Å; angles 90.00, 90.00, 90.00 degrees
With the nearest neighbours (Å) after each atom.
Element x y z (fractional)
Ba 0.0000 0.0000 0.0000  8 As 3.39, 2 O 3.62
Ti 0.0000 0.5000 0.5000  2 O 2.01
Ti 0.5000 0.0000 0.5000  2 O 2.01
As 0.5000 0.5000 0.2561  4 Ti 2.67
As 0.5000 0.5000 0.7439  4 Ti 2.67
O 0.0000 0.0000 0.5000  4 Ti 2.01

Values from the calculation:
ΔE_f (raw): -1755 meV/atom
SG: P4/mmm (123)

***

7.
Computed, not measured: BaVAsO6 at its PBEsol-relaxed geometry at the meta-GGA SCAN level of DFT.

Cell lengths 5.7351, 10.1895, 8.9245 Å; angles 90.00, 90.94, 90.00 degrees
With the nearest neighbours (Å) after each atom.
Element x y z (fractional)
Ba 0.1420 0.1959 0.0889  7 O 2.62-2.85
Ba 0.1420 0.3041 0.5889  7 O 2.62-2.85
Ba 0.8580 0.6959 0.4111  7 O 2.62-2.85
Ba 0.8580 0.8041 0.9111  7 O 2.62-2.85
V 0.3506 0.5926 0.0851  2 O 1.64-1.69
V 0.3506 0.9074 0.5851  2 O 1.64-1.69
V 0.6494 0.0926 0.4149  2 O 1.64-1.69
V 0.6494 0.4074 0.9149  2 O 1.64-1.69
As 0.3461 0.6146 0.7185  4 O 1.68-1.74
As 0.3461 0.8854 0.2185  4 O 1.68-1.74
As 0.6539 0.1146 0.7815  4 O 1.68-1.74
As 0.6539 0.3854 0.2815  4 O 1.68-1.74
O 0.1029 0.5763 0.6208  1 As 1.68
O 0.1029 0.9237 0.1208  1 As 1.68
O 0.1064 0.6426 0.1590  1 V 1.64
O 0.1064 0.8574 0.6590  1 V 1.64
O 0.2860 0.6782 0.8942  1 As 1.74, 1 V 1.94
O 0.2860 0.8218 0.3942  1 As 1.74, 1 V 1.94
O 0.3111 0.0623 0.5229  1 V 1.69
O 0.3111 0.4377 0.0229  1 V 1.69
O 0.4700 0.2272 0.8610  1 As 1.72
O 0.4700 0.2728 0.3610  1 As 1.72
O 0.4859 0.0362 0.2347  1 As 1.74, 1 V 1.94
O 0.4859 0.4638 0.7347  1 As 1.74, 1 V 1.94
O 0.5141 0.5362 0.2653  1 As 1.74, 1 V 1.94
O 0.5141 0.9638 0.7653  1 As 1.74, 1 V 1.94
O 0.5300 0.7272 0.6390  1 As 1.72
O 0.5300 0.7728 0.1390  1 As 1.72
O 0.6889 0.5623 0.9771  1 V 1.69
O 0.6889 0.9377 0.4771  1 V 1.69
O 0.7140 0.1782 0.6058  1 As 1.74, 1 V 1.94
O 0.7140 0.3218 0.1058  1 As 1.74, 1 V 1.94
O 0.8936 0.1426 0.3410  1 V 1.64
O 0.8936 0.3574 0.8410  1 V 1.64
O 0.8971 0.0763 0.8792  1 As 1.68
O 0.8971 0.4237 0.3792  1 As 1.68

Values from the calculation:
ΔE_f (raw): -2389 meV/atom
SG: P2_1/c (14)

***

8.
Computed, not measured: BaZn2As2O8 at its PBEsol-relaxed geometry at the meta-GGA SCAN level of DFT.

Cell lengths 8.8069, 10.0637, 9.4520 Å; angles 90.00, 91.83, 90.00 degrees
With the nearest neighbours (Å) after each atom.
Element x y z (fractional)
Ba 0.2451 0.0840 0.1080  7 O 2.72-2.82
Ba 0.2451 0.4160 0.6080  7 O 2.72-2.82
Ba 0.7549 0.5840 0.3920  7 O 2.72-2.82
Ba 0.7549 0.9160 0.8920  7 O 2.72-2.82
Zn 0.0763 0.6854 0.0582  4 O 1.92-1.97
Zn 0.0763 0.8146 0.5582  4 O 1.92-1.97
Zn 0.4330 0.0770 0.7165  4 O 1.92-1.99
Zn 0.4330 0.4230 0.2165  4 O 1.92-1.99
Zn 0.5670 0.5770 0.7835  4 O 1.92-1.99
Zn 0.5670 0.9230 0.2835  4 O 1.92-1.99
Zn 0.9237 0.1854 0.4418  4 O 1.92-1.97
Zn 0.9237 0.3146 0.9418  4 O 1.92-1.97
As 0.0634 0.0845 0.7439  4 O 1.70-1.72
As 0.0634 0.4155 0.2439  4 O 1.70-1.72
As 0.4446 0.7007 0.0683  4 O 1.70-1.72
As 0.4446 0.7993 0.5683  4 O 1.70-1.72
As 0.5554 0.2007 0.4317  4 O 1.70-1.72
As 0.5554 0.2993 0.9317  4 O 1.70-1.72
As 0.9366 0.5845 0.7561  4 O 1.70-1.72
As 0.9366 0.9155 0.2561  4 O 1.70-1.72
O 0.0127 0.0655 0.3051  1 As 1.71
O 0.0127 0.4345 0.8051  1 As 1.71
O 0.0484 0.6301 0.6180  1 As 1.72
O 0.0484 0.8699 0.1180  1 As 1.72
O 0.0643 0.1953 0.6079  1 As 1.70
O 0.0643 0.3047 0.1079  1 As 1.70
O 0.2434 0.0756 0.8186  1 As 1.72
O 0.2434 0.4244 0.3186  1 As 1.72
O 0.2774 0.6369 0.0048  1 As 1.70
O 0.2774 0.8631 0.5048  1 As 1.70
O 0.4234 0.2005 0.5617  1 As 1.72, 1 Zn 1.92
O 0.4234 0.2995 0.0617  1 As 1.72, 1 Zn 1.92
O 0.4301 0.6383 0.6257  1 As 1.71
O 0.4301 0.8617 0.1257  1 As 1.71
O 0.4827 0.1004 0.2982  1 As 1.72
O 0.4827 0.3996 0.7982  1 As 1.72
O 0.5173 0.6004 0.2018  1 As 1.72
O 0.5173 0.8996 0.7018  1 As 1.72
O 0.5699 0.1383 0.8743  1 As 1.71
O 0.5699 0.3617 0.3743  1 As 1.71
O 0.5766 0.7005 0.9383  1 As 1.72, 1 Zn 1.92
O 0.5766 0.7995 0.4383  1 As 1.72, 1 Zn 1.92
O 0.7226 0.1369 0.4952  1 As 1.70
O 0.7226 0.3631 0.9952  1 As 1.70
O 0.7566 0.5756 0.6814  1 As 1.72
O 0.7566 0.9244 0.1814  1 As 1.72
O 0.9357 0.6953 0.8921  1 As 1.70
O 0.9357 0.8047 0.3921  1 As 1.70
O 0.9516 0.1301 0.8820  1 As 1.72
O 0.9516 0.3699 0.3820  1 As 1.72
O 0.9873 0.5655 0.1949  1 As 1.71
O 0.9873 0.9345 0.6949  1 As 1.71

Values from the calculation:
ΔE_f (raw): -1869 meV/atom
SG: P2_1/c (14)

***

9.
Computed, not measured: BaAs2Os at its PBEsol-relaxed geometry at the meta-GGA SCAN level of DFT.

Cell lengths 3.3835, 3.3835, 7.4428 Å; angles 90.00, 90.00, 90.00 degrees
With the nearest neighbours (Å) after each atom.
Element x y z (fractional)
Ba 0.0000 0.0000 0.0000  5 As 3.36-3.45, 4 Ba 3.38, 4 Os 3.48
As 0.0000 0.0000 0.4634  4 Os 2.56
As 0.5000 0.5000 0.6834  1 Os 2.56
Os 0.5000 0.5000 0.3396  5 As 2.56

Values from the calculation:
DFT total energy: -1.38962 hartree per atom
SG: P4mm (99)

***

10.
Computed, not measured: BaAsOs3 at its PBEsol-relaxed geometry at the meta-GGA SCAN level of DFT.

Cell lengths 4.6658, 4.6658, 4.6658 Å; angles 90.00, 90.00, 90.00 degrees
With the nearest neighbours (Å) after each atom.
Element x y z (fractional)
Ba 0.0000 0.0000 0.0000  12 Os 3.30
As 0.5000 0.5000 0.5000  6 Os 2.33
Os 0.0000 0.5000 0.5000  2 As 2.33
Os 0.5000 0.0000 0.5000  2 As 2.33
Os 0.5000 0.5000 0.0000  2 As 2.33

Values from the calculation:
DFT total energy: -1.97896 hartree per atom
SG: Pm-3m (221)

***

11.
Computed, not measured: BaAs2Os at its PBEsol-relaxed geometry at the meta-GGA SCAN level of DFT.

Cell lengths 4.9335, 4.9335, 3.6161 Å; angles 90.00, 90.00, 104.75 degrees
With the nearest neighbours (Å) after each atom.
Element x y z (fractional)
Ba 0.0000 0.0000 0.0000  2 Os 3.01, 8 As 3.06
As 0.0000 0.5000 0.5000  2 As 3.01, 4 Ba 3.06, 4 Os 3.06
As 0.5000 0.0000 0.5000  2 As 3.01, 4 Ba 3.06, 4 Os 3.06
Os 0.5000 0.5000 0.0000  2 Ba 3.01, 8 As 3.06

Values from the calculation:
DFT total energy: -1.36629 hartree per atom
SG: Cmmm (65)